Entry from Alexandria: a relaxed Y2NiAg crystal (GGA-PBE).

Lattice parameters (Å, degrees): 3.417 3.503 7.316 90.00 90.10 90.00
Fractional coordinates of all 4 atoms:
1 Y 0.000 0.000 0.226
2 Y 0.000 0.000 0.774
3 Ni 0.500 0.500 0.000
4 Ag 0.500 0.500 0.500

Output
ΔH_f (0 K), eV/atom: -0.3459
Calculated volume, Å³/cell: 87.6

***

Entry from Alexandria: a relaxed Ca2PdPt2 crystal (GGA-PBE).

Lattice parameters (Å, degrees): 5.527 5.527 5.527 119.69 119.69 90.54
Fractional coordinates of all 5 atoms:
1 Ca 0.250 0.750 0.500
2 Ca 0.750 0.250 0.500
3 Pd 0.000 0.000 0.000
4 Pt 0.337 0.337 0.000
5 Pt 0.663 0.663 0.000

Output
ΔH_f (0 K), eV/atom: -0.4955
Calculated volume, Å³/cell: 120.0

***

Entry from Alexandria: a relaxed Tb4HoAg crystal (GGA-PBE).

Lattice parameters (Å, degrees): 10.712 10.712 6.418 90.00 90.00 150.54
Fractional coordinates of all 12 atoms:
1 Tb 0.035 0.965 0.500
2 Tb 0.178 0.822 0.308
3 Tb 0.245 0.755 0.791
4 Tb 0.435 0.565 0.669
5 Tb 0.565 0.435 0.169
6 Tb 0.755 0.245 0.291
7 Tb 0.822 0.178 0.808
8 Tb 0.965 0.035 0.000
9 Ho 0.366 0.634 0.168
10 Ho 0.634 0.366 0.668
11 Ag 0.104 0.896 0.910
12 Ag 0.896 0.104 0.410

Output
Energy relative to the lowest polymorph listed for this composition, meV/atom: 123.4
ΔH_f (0 K), eV/atom: 0.0436
Calculated volume, Å³/cell: 362.3

***

Entry from Alexandria: a relaxed YTmSc2 crystal (GGA-PBE).

Lattice parameters (Å, degrees): 3.417 3.417 10.930 90.00 90.00 120.00
Fractional coordinates of all 4 atoms:
1 Y 0.000 0.000 0.000
2 Tm 0.000 0.000 0.500
3 Sc 0.333 0.667 0.252
4 Sc 0.667 0.333 0.748

Output
Energy relative to the lowest polymorph listed for this composition, meV/atom: 0.0
ΔH_f (0 K), eV/atom: 0.0448
Calculated volume, Å³/cell: 110.5

***

Entry from Alexandria: a relaxed Dy7Tm3Sc crystal (GGA-PBE).

Lattice parameters (Å, degrees): 6.955 6.955 8.464 90.00 90.00 120.00
Fractional coordinates of all 11 atoms:
1 Dy 0.000 0.000 0.000
2 Dy 0.004 0.502 0.002
3 Dy 0.330 0.165 0.669
4 Dy 0.498 0.502 0.002
5 Dy 0.498 0.996 0.002
6 Dy 0.835 0.165 0.669
7 Dy 0.835 0.670 0.669
8 Tm 0.168 0.335 0.340
9 Tm 0.168 0.832 0.340
10 Tm 0.665 0.832 0.340
11 Sc 0.333 0.667 0.674

Output
Energy relative to the lowest polymorph listed for this composition, meV/atom: 44.1
ΔH_f (0 K), eV/atom: 0.1969
Calculated volume, Å³/cell: 354.5

***

Entry from Alexandria: a relaxed Cs2Rb2Na crystal (GGA-PBE).

Lattice parameters (Å, degrees): 11.018 11.018 7.894 90.00 90.00 90.00
Fractional coordinates of all 10 atoms:
1 Cs 0.153 0.347 0.000
2 Cs 0.347 0.847 0.000
3 Cs 0.653 0.153 0.000
4 Cs 0.847 0.653 0.000
5 Rb 0.167 0.667 0.500
6 Rb 0.333 0.167 0.500
7 Rb 0.667 0.833 0.500
8 Rb 0.833 0.333 0.500
9 Na 0.000 0.000 0.000
10 Na 0.500 0.500 0.000

Output
Energy relative to the lowest polymorph listed for this composition, meV/atom: 67.8
ΔH_f (0 K), eV/atom: 0.0923
Calculated volume, Å³/cell: 958.3

***

Entry from Alexandria: a relaxed VBP2Cl crystal (GGA-PBE).

Lattice parameters (Å, degrees): 4.004 4.004 4.541 90.00 90.00 90.00
Fractional coordinates of all 5 atoms:
1 V 0.000 0.000 0.000
2 B 0.500 0.500 0.500
3 P 0.000 0.500 0.500
4 P 0.500 0.000 0.500
5 Cl 0.500 0.500 0.000

Output
Energy relative to the lowest polymorph listed for this composition, meV/atom: 0.0
Calculated volume, Å³/cell: 72.8
E_form (uncorrected), eV/atom: 0.88

***

Entry from Alexandria: a relaxed HoTm2Al2 crystal (GGA-PBE).

Lattice parameters (Å, degrees): 3.589 5.098 13.349 90.00 97.73 90.00
Fractional coordinates of all 10 atoms:
1 Ho 0.145 0.250 0.292
2 Ho 0.855 0.750 0.708
3 Tm 0.047 0.750 0.094
4 Tm 0.234 0.750 0.468
5 Tm 0.766 0.250 0.532
6 Tm 0.953 0.250 0.906
7 Al 0.360 0.250 0.719
8 Al 0.451 0.750 0.901
9 Al 0.549 0.250 0.099
10 Al 0.640 0.750 0.281

Output
Energy relative to the lowest polymorph listed for this composition, meV/atom: 0.0
ΔH_f (0 K), eV/atom: -0.3178
Calculated volume, Å³/cell: 242.0

***

Entry from Alexandria: a relaxed TlRuPt crystal (GGA-PBE).

Lattice parameters (Å, degrees): 4.424 4.424 4.424 60.00 60.00 60.00
Fractional coordinates of all 3 atoms:
1 Tl 0.000 0.000 0.000
2 Ru 0.250 0.250 0.250
3 Pt 0.500 0.500 0.500

Output
Energy relative to the lowest polymorph listed for this composition, meV/atom: 168.7
ΔH_f (0 K), eV/atom: 0.5474
Calculated volume, Å³/cell: 61.2

***

Entry from Alexandria: a relaxed DyBe3Pt3 crystal (GGA-PBE).

Lattice parameters (Å, degrees): 6.151 6.151 6.151 90.00 90.00 90.00
Fractional coordinates of all 14 atoms:
1 Dy 0.000 0.000 0.000
2 Dy 0.500 0.500 0.500
3 Be 0.000 0.250 0.500
4 Be 0.000 0.750 0.500
5 Be 0.250 0.500 0.000
6 Be 0.500 0.000 0.250
7 Be 0.500 0.000 0.750
8 Be 0.750 0.500 0.000
9 Pt 0.000 0.500 0.250
10 Pt 0.000 0.500 0.750
11 Pt 0.250 0.000 0.500
12 Pt 0.500 0.250 0.000
13 Pt 0.500 0.750 0.000
14 Pt 0.750 0.000 0.500

Output
ΔH_f (0 K), eV/atom: -0.4979
Calculated volume, Å³/cell: 232.7

***

Entry from Alexandria: a relaxed USbOs crystal (GGA-PBE).

Lattice parameters (Å, degrees): 6.097 6.097 6.097 148.34 148.34 45.38
Fractional coordinates of all 3 atoms:
1 U 0.000 0.000 0.000
2 Sb 0.707 0.707 0.000
3 Os 0.357 0.357 0.000

Output
Calculated volume, Å³/cell: 62.2
E_form (uncorrected), eV/atom: 0.10

***

Entry from Alexandria: a relaxed TaCrCl2 crystal (GGA-PBE).

Lattice parameters (Å, degrees): 4.794 4.794 4.794 128.27 128.27 76.19
Fractional coordinates of all 4 atoms:
1 Ta 0.000 0.000 0.000
2 Cr 0.500 0.500 0.000
3 Cl 0.250 0.750 0.500
4 Cl 0.750 0.250 0.500

Output
Energy relative to the lowest polymorph listed for this composition, meV/atom: 978.5
Calculated volume, Å³/cell: 66.0
E_form (uncorrected), eV/atom: 0.58

***

Entry from Alexandria: a relaxed Sr2YCo crystal (GGA-PBE).

Lattice parameters (Å, degrees): 5.899 5.899 3.945 90.00 90.00 104.59
Fractional coordinates of all 4 atoms:
1 Sr 0.000 0.500 0.000
2 Sr 0.500 0.000 0.000
3 Y 0.000 0.000 0.500
4 Co 0.500 0.500 0.500

Output
Energy relative to the lowest polymorph listed for this composition, meV/atom: 541.2
ΔH_f (0 K), eV/atom: 0.6675
Calculated volume, Å³/cell: 132.8

***

Entry from Alexandria: a relaxed SrNb2Pt2 crystal (GGA-PBE).

Lattice parameters (Å, degrees): 6.631 6.631 6.631 141.89 141.89 54.99
Fractional coordinates of all 5 atoms:
1 Sr 0.000 0.000 0.000
2 Nb 0.250 0.750 0.500
3 Nb 0.750 0.250 0.500
4 Pt 0.386 0.386 0.000
5 Pt 0.614 0.614 0.000

Output
Energy relative to the lowest polymorph listed for this composition, meV/atom: 0.0
ΔH_f (0 K), eV/atom: -0.3555
Calculated volume, Å³/cell: 110.3

***

Entry from Alexandria: a relaxed TbLuTiTl crystal (GGA-PBE).

Lattice parameters (Å, degrees): 5.238 5.238 5.238 60.00 60.00 60.00
Fractional coordinates of all 4 atoms:
1 Tb 0.000 0.000 0.000
2 Lu 0.500 0.500 0.500
3 Ti 0.750 0.750 0.750
4 Tl 0.250 0.250 0.250

Output
ΔH_f (0 K), eV/atom: 0.0123
Calculated volume, Å³/cell: 101.6

***

Entry from Alexandria: a relaxed V3C2 crystal (GGA-PBE).

Lattice parameters (Å, degrees): 5.468 5.468 5.468 55.42 55.42 55.42
Fractional coordinates of all 10 atoms:
1 V 0.071 0.750 0.429
2 V 0.250 0.571 0.929
3 V 0.429 0.071 0.750
4 V 0.571 0.929 0.250
5 V 0.750 0.429 0.071
6 V 0.929 0.250 0.571
7 C 0.157 0.157 0.157
8 C 0.343 0.343 0.343
9 C 0.657 0.657 0.657
10 C 0.843 0.843 0.843

Output
ΔH_f (0 K), eV/atom: -0.4788
Calculated volume, Å³/cell: 103.3

***

Entry from Alexandria: a relaxed YMg4Ag2 crystal (GGA-PBE).

Lattice parameters (Å, degrees): 8.501 8.501 4.337 90.00 90.00 90.00
Fractional coordinates of all 14 atoms:
1 Y 0.000 0.000 0.000
2 Y 0.500 0.500 0.500
3 Mg 0.090 0.338 0.500
4 Mg 0.162 0.590 0.000
5 Mg 0.338 0.090 0.500
6 Mg 0.410 0.838 0.000
7 Mg 0.590 0.162 0.000
8 Mg 0.662 0.910 0.500
9 Mg 0.838 0.410 0.000
10 Mg 0.910 0.662 0.500
11 Ag 0.206 0.794 0.500
12 Ag 0.294 0.294 0.000
13 Ag 0.706 0.706 0.000
14 Ag 0.794 0.206 0.500

Output
Energy relative to the lowest polymorph listed for this composition, meV/atom: 0.0
ΔH_f (0 K), eV/atom: -0.1708
Calculated volume, Å³/cell: 313.4

***

Entry from Alexandria: a relaxed RbSmCdBr6 crystal (GGA-PBE).

Lattice parameters (Å, degrees): 7.399 7.399 15.218 90.00 90.00 120.00
Fractional coordinates of all 18 atoms:
1 Rb 0.000 0.000 0.000
2 Rb 0.000 0.000 0.500
3 Sm 0.333 0.667 0.250
4 Sm 0.667 0.333 0.750
5 Cd 0.333 0.667 0.750
6 Cd 0.667 0.333 0.250
7 Br 0.005 0.379 0.641
8 Br 0.005 0.626 0.859
9 Br 0.374 0.379 0.859
10 Br 0.374 0.995 0.641
11 Br 0.379 0.005 0.141
12 Br 0.379 0.374 0.359
13 Br 0.621 0.626 0.641
14 Br 0.621 0.995 0.859
15 Br 0.626 0.005 0.359
16 Br 0.626 0.621 0.141
17 Br 0.995 0.374 0.141
18 Br 0.995 0.621 0.359

Output
Calculated volume, Å³/cell: 721.4
E_form (uncorrected), eV/atom: -1.52

***

Entry from Alexandria: a relaxed CaCo2S2 crystal (GGA-PBE).

Lattice parameters (Å, degrees): 7.206 7.206 3.868 90.00 90.00 90.00
Fractional coordinates of all 10 atoms:
1 Ca 0.000 0.000 0.000
2 Ca 0.500 0.500 0.000
3 Co 0.104 0.396 0.000
4 Co 0.396 0.896 0.000
5 Co 0.604 0.104 0.000
6 Co 0.896 0.604 0.000
7 S 0.181 0.319 0.500
8 S 0.319 0.819 0.500
9 S 0.681 0.181 0.500
10 S 0.819 0.681 0.500

Output
Energy relative to the lowest polymorph listed for this composition, meV/atom: 267.0
Calculated volume, Å³/cell: 200.9
E_form (uncorrected), eV/atom: -0.32

***

Entry from Alexandria: a relaxed Zn2RuRh3 crystal (GGA-PBE).

Lattice parameters (Å, degrees): 2.795 2.795 10.696 90.00 90.00 90.00
Fractional coordinates of all 6 atoms:
1 Zn 0.000 0.000 0.162
2 Zn 0.000 0.000 0.838
3 Ru 0.000 0.000 0.500
4 Rh 0.500 0.500 0.000
5 Rh 0.500 0.500 0.331
6 Rh 0.500 0.500 0.669

Output
ΔH_f (0 K), eV/atom: -0.1981
Calculated volume, Å³/cell: 83.6

***

Entry from Alexandria: a relaxed Pr2Ho2Tm2Mg crystal (GGA-PBE).

Lattice parameters (Å, degrees): 6.340 6.340 11.580 117.55 117.55 33.38
Fractional coordinates of all 7 atoms:
1 Pr 0.027 0.027 0.246
2 Pr 0.973 0.973 0.754
3 Ho 0.182 0.182 0.589
4 Ho 0.818 0.818 0.411
5 Tm 0.245 0.245 0.125
6 Tm 0.755 0.755 0.875
7 Mg 0.500 0.500 0.000

Output
ΔH_f (0 K), eV/atom: 0.0924
Calculated volume, Å³/cell: 224.3

***

Entry from Alexandria: a relaxed ScCdPN2 crystal (GGA-PBE).

Lattice parameters (Å, degrees): 3.833 3.833 4.870 90.00 90.00 90.00
Fractional coordinates of all 5 atoms:
1 Sc 0.000 0.000 0.000
2 Cd 0.500 0.500 0.000
3 P 0.500 0.500 0.500
4 N 0.000 0.500 0.500
5 N 0.500 0.000 0.500

Output
Calculated volume, Å³/cell: 71.6
E_form (uncorrected), eV/atom: 1.02

***

Entry from Alexandria: a relaxed KAu crystal (GGA-PBE).

Lattice parameters (Å, degrees): 6.402 6.402 7.569 110.49 110.49 39.57
Fractional coordinates of all 6 atoms:
1 K 0.000 0.000 0.000
2 K 0.002 0.002 0.437
3 K 0.298 0.298 0.623
4 Au 0.295 0.295 0.079
5 Au 0.647 0.647 0.830
6 Au 0.709 0.709 0.258

Output
ΔH_f (0 K), eV/atom: -0.2190
Calculated volume, Å³/cell: 183.5

***

Entry from Alexandria: a relaxed CaAsBr2N crystal (GGA-PBE).

Lattice parameters (Å, degrees): 5.556 5.556 6.881 90.00 90.00 90.00
Fractional coordinates of all 5 atoms:
1 Ca 0.000 0.000 0.000
2 As 0.000 0.000 0.500
3 Br 0.000 0.500 0.000
4 Br 0.500 0.000 0.000
5 N 0.500 0.500 0.500

Output
Energy relative to the lowest polymorph listed for this composition, meV/atom: 329.4
Calculated volume, Å³/cell: 212.4
E_form (uncorrected), eV/atom: 0.55

***

Entry from Alexandria: a relaxed Sr5In2 crystal (GGA-PBE).

Lattice parameters (Å, degrees): 10.376 10.376 10.376 131.68 67.29 136.14
Fractional coordinates of all 14 atoms:
1 Sr 0.018 0.250 0.768
2 Sr 0.083 0.647 0.730
3 Sr 0.250 0.250 0.000
4 Sr 0.417 0.147 0.564
5 Sr 0.482 0.250 0.232
6 Sr 0.518 0.750 0.768
7 Sr 0.583 0.853 0.436
8 Sr 0.750 0.750 0.000
9 Sr 0.917 0.353 0.270
10 Sr 0.982 0.750 0.232
11 In 0.122 0.254 0.376
12 In 0.378 0.754 0.132
13 In 0.622 0.246 0.868
14 In 0.878 0.746 0.624

Output
ΔH_f (0 K), eV/atom: -0.2856
Calculated volume, Å³/cell: 568.7